Computed, not measured: crystalline NdErZn at its relaxed geometry at the PBE-GGA level of DFT.

Cell lengths 4.9962, 4.9962, 4.9962 Å; angles 60.00, 60.00, 60.00 degrees
Atoms (fractional coordinates):
Zn  0.0000  0.0000  0.0000
Nd  0.7500  0.7500  0.7500
Er  0.2500  0.2500  0.2500

Total moment   0.04 μB per formula unit
Space group   No. 216
Energy of formation from the pure elements   0.02 eV/atom

Computed, not measured: crystalline TaFeAsOs at its relaxed geometry at the PBE-GGA level of DFT.

Cell lengths 4.4156, 4.4156, 4.4156 Å; angles 60.00, 60.00, 60.00 degrees
Atoms (fractional coordinates):
As  0.0000  0.0000  0.0000
Os  0.5000  0.5000  0.5000
Fe  0.7500  0.7500  0.7500
Ta  0.2500  0.2500  0.2500

Total moment   2.93 μB per formula unit
Space group   No. 216

Computed, not measured: crystalline K2Er2S at its relaxed geometry at the PBE-GGA level of DFT.

Cell lengths 3.5683, 7.5362, 7.8473 Å; angles 111.77, 101.73, 103.66 degrees
Atoms (fractional coordinates):
K  0.3704  0.2406  0.4799
K  0.6296  0.7594  0.5201
Er  0.1304  0.2748  0.9864
Er  0.8696  0.7252  0.0136
S  0.5000  0.0000  0.0000

Total moment   0.02 μB per formula unit
Space group   No. 2

Computed, not measured: crystalline Dy2ErP3 at its relaxed geometry at the PBE-GGA level of DFT.

Cell lengths 3.9932, 3.9932, 9.7726 Å; angles 90.00, 90.00, 120.00 degrees
Atoms (fractional coordinates):
Dy  0.6667  0.3333  0.1675
Dy  0.3333  0.6667  0.8325
P  0.6667  0.3333  0.6647
P  0.3333  0.6667  0.3353
P  0.0000  0.0000  0.0000
Er  0.0000  0.0000  0.5000

Total moment   0.00 μB per formula unit
Space group   No. 164

Computed, not measured: crystalline CoSbPt at its relaxed geometry at the PBE-GGA level of DFT.

Cell lengths 6.6702, 6.6702, 3.7743 Å; angles 90.00, 90.00, 120.00 degrees
Atoms (fractional coordinates):
Co  0.7386  0.7386  0.0000
Co  0.0000  0.2614  0.0000
Co  0.2614  0.0000  0.0000
Pt  0.0000  0.6038  0.5000
Pt  0.6038  0.0000  0.5000
Pt  0.3962  0.3962  0.5000
Sb  0.6667  0.3333  0.0000
Sb  0.0000  0.0000  0.5000
Sb  0.3333  0.6667  0.0000

Total moment   0.00 μB per formula unit
Space group   No. 189

Computed, not measured: crystalline In2CuB at its relaxed geometry at the PBE-GGA level of DFT.

Cell lengths 4.6723, 4.6723, 4.6723 Å; angles 60.00, 60.00, 60.00 degrees
Atoms (fractional coordinates):
In  0.0000  0.0000  0.0000
In  0.7500  0.7500  0.7500
B  0.5000  0.5000  0.5000
Cu  0.2500  0.2500  0.2500

Space group   No. 216

Computed, not measured: crystalline PmMgO3 at its relaxed geometry at the PBE-GGA level of DFT.

Cell lengths 3.8320, 3.8320, 3.8478 Å; angles 90.00, 90.00, 90.00 degrees
Atoms (fractional coordinates):
O  0.0000  0.5000  0.5797
O  0.5000  0.5000  0.0798
O  0.5000  0.0000  0.5797
Mg  0.5000  0.5000  0.5798
Pm  0.0000  0.0000  0.0809

Total moment   1.00 μB per formula unit
Space group   No. 123

Computed, not measured: crystalline Gd2YNi2B2P3 at its relaxed geometry at the PBE-GGA level of DFT.

Cell lengths 11.0399, 11.0399, 11.0399 Å; angles 159.37, 159.37, 29.33 degrees
Atoms (fractional coordinates):
Gd  0.6378  0.6378  0.0000
Gd  0.3622  0.3622  0.0000
P  0.5000  0.5000  0.0000
P  0.1283  0.1283  0.0000
P  0.8717  0.8717  0.0000
Ni  0.2500  0.7500  0.5000
Ni  0.7500  0.2500  0.5000
B  0.2192  0.2192  0.0000
B  0.7808  0.7808  0.0000
Y  0.0000  0.0000  0.0000

Total moment   0.02 μB per formula unit
Space group   No. 139

Computed, not measured: crystalline BeCdSO at its relaxed geometry at the PBE-GGA level of DFT.

Cell lengths 4.9465, 7.2610, 7.2998 Å; angles 90.00, 90.00, 90.00 degrees
Atoms (fractional coordinates):
S  0.5311  0.5795  0.8702
S  0.9689  0.4205  0.3702
S  0.4689  0.0795  0.6298
S  0.0311  0.9205  0.1298
Cd  0.8077  0.8944  0.8237
Cd  0.6923  0.1056  0.3237
Cd  0.1923  0.3944  0.6763
Cd  0.3077  0.6056  0.1763
O  0.0162  0.7787  0.5770
O  0.4838  0.2213  0.0770
O  0.5162  0.7213  0.4230
O  0.9838  0.2787  0.9230
Be  0.1926  0.1723  0.0364
Be  0.8074  0.6723  0.4636
Be  0.6926  0.3277  0.9636
Be  0.3074  0.8277  0.5364

Space group   No. 19

Computed, not measured: crystalline LiCoSiMo at its relaxed geometry at the PBE-GGA level of DFT.

Cell lengths 4.0900, 4.0900, 4.0900 Å; angles 60.00, 60.00, 60.00 degrees
Atoms (fractional coordinates):
Mo  0.5000  0.5000  0.5000
Li  0.2500  0.2500  0.2500
Co  0.7500  0.7500  0.7500
Si  0.0000  0.0000  0.0000

Total moment   1.97 μB per formula unit
Space group   No. 216

Computed, not measured: crystalline PrBeFe at its relaxed geometry at the PBE-GGA level of DFT.

Cell lengths 4.3332, 4.3332, 4.3332 Å; angles 60.00, 60.00, 60.00 degrees
Atoms (fractional coordinates):
Pr  0.7500  0.7500  0.7500
Fe  0.0000  0.0000  0.0000
Be  0.2500  0.2500  0.2500

Total moment   0.98 μB per formula unit
Space group   No. 216

Computed, not measured: crystalline Mg3Ir2 at its relaxed geometry at the PBE-GGA level of DFT.

Cell lengths 5.5998, 5.5998, 7.3824 Å; angles 112.29, 67.71, 120.00 degrees
Atoms (fractional coordinates):
Mg  0.8096  0.3096  0.2500
Mg  0.2500  0.1904  0.2500
Mg  0.7500  0.8096  0.7500
Mg  0.3096  0.2500  0.7500
Mg  0.6904  0.7500  0.2500
Mg  0.1904  0.6904  0.7500
Ir  0.1850  0.8150  0.4449
Ir  0.6850  0.3150  0.9449
Ir  0.8150  0.1850  0.5551
Ir  0.3150  0.6850  0.0551

Total moment   0.00 μB per formula unit
Space group   No. 167

Number 1: total energy -3.507 eV per atom. Number 2: total energy -8.761 eV per atom. Number 3: total energy -3.417 eV per atom. Number 4: total energy -6.613 eV per atom. Number 5: total energy -5.816 eV per atom. Number 6: total energy -2.949 eV per atom. Number 7: total energy -6.657 eV per atom. Number 8: total energy -6.567 eV per atom. Number 9: total energy -4.791 eV per atom. Number 10: total energy -6.380 eV per atom. Number 11: total energy -4.947 eV per atom. Number 12: total energy -4.432 eV per atom.